A plane-wave DFT calculation with GGA+U was carried out for crystalline Rb2SrCoO4 at its relaxed geometry.

The uncorrected energy is -4.855 eV per atom. Its calculated density is 2.8 Mg/m³.

The structure belongs to space group Fddd (No. 70, origin choice 2); the cell edges are 5.9215, 12.2919 and 24.6667 Å and the angles 90.00°, 90.00° and 90.00°. Symmetry generates all atoms from Rb at (0.1250, 0.1250, 0.3203), Sr at (0.1250, 0.1250, 0.1250), Co at (0.1250, 0.1250, 0.6250) and O at (0.0623, 0.2839, 0.8380).